5
Lattice="4.6486 0.0000 0.0000 0.0000 4.6486 0.0000 0.0000 0.0000 4.6486" Properties=species:S:1:pos:R:3 comment="Ta3VH, optimized geometry, DFT PBE" magmom_total_mub_per_cell=0.0 crystal_system=cubic de_polymorph_mev_per_atom=1752.4 density_g_cm3=9.832 dos_at_fermi_per_ev_cell=8.2 vol_a3_per_cell=100 pbc="T T T"
V 0.0000 0.0000 0.0000
Ta 0.0000 0.0000 2.3243
Ta 2.3243 0.0000 0.0000
Ta 0.0000 2.3243 0.0000
H 2.3243 2.3243 2.3243